This record from Alexandria via LeMat-Bulk describes Tb2GeSb after structural relaxation. The functional is PBE.

```
4
Lattice="4.2121 0.0000 0.0000 2.1061 3.6478 0.0000 2.1061 1.2159 7.2195" Properties=species:S:1:pos:R:3 pbc="T T T"
Tb 2.1061 1.2159 1.6975
Tb 6.3182 3.6478 5.5220
Ge 0.0000 0.0000 0.0000
Sb 4.2121 2.4319 3.6097
```

Calculated values
total moment	0.0	μB/f.u.
symmetry	No. 166
electronic total energy	-5.398	eV/atom
energy above the lowest structure with this stoichiometry	0.231	eV per formula unit
E_form (uncorrected)	-0.898	eV per atom